(1)
Here is a geometry-optimized BaCuSiNi structure from the Open Quantum Materials Database. Energies are from GGA-PBE.

Calculated values
energy above the most stable polymorph in this dataset: 0.003 eV/atom
crystal system: hexagonal
SG: No. 187
calculated volume: 20.6 A^3/atom

a b c (Å): 4.1084 4.1084 11.2488
angles (deg): 90.00 90.00 120.00
Last column: nearest neighbours and their distance in Å.
Fractional coordinates of all 8 atoms:
Ba1 0.0000 0.0000 0.0000  2 Ni 3.12, 6 Cu 3.40
Ba2 0.3333 0.6667 0.5000  2 Cu 3.19, 6 Ni 3.45
Cu1 0.3333 0.6667 0.2167  3 Si 2.42, 3 Ni 2.47
Cu2 0.3333 0.6667 0.7833  3 Si 2.42, 3 Ni 2.47
Si1 0.6667 0.3333 0.2574  3 Ni 2.38, 3 Cu 2.42
Si2 0.6667 0.3333 0.7426  3 Ni 2.38, 3 Cu 2.42
Ni1 0.0000 0.0000 0.2774  3 Si 2.38, 3 Cu 2.47
Ni2 0.0000 0.0000 0.7226  3 Si 2.38, 3 Cu 2.47

---

(2)
Here is a geometry-optimized BeCoTeAu structure from the Open Quantum Materials Database. Energies are from GGA-PBE.

Calculated values
energy above the most stable polymorph in this dataset: 0.000 eV/atom
crystal system: cubic
SG: No. 216
calculated volume: 15.9 A^3/atom

a b c (Å): 4.4827 4.4827 4.4827
angles (deg): 60.00 60.00 60.00
Last column: nearest neighbours and their distance in Å.
Fractional coordinates of all 4 atoms:
Be1 0.0000 0.0000 0.0000  4 Te 2.75, 4 Au 2.75
Co1 0.5000 0.5000 0.5000  4 Te 2.75, 4 Au 2.75
Te1 0.2500 0.2500 0.2500  4 Co 2.75, 4 Be 2.75
Au1 0.7500 0.7500 0.7500  4 Co 2.75, 4 Be 2.75

---

(3)
Here is a geometry-optimized NdMgMo structure from the Open Quantum Materials Database. Energies are from GGA-PBE.

Calculated values
energy above the most stable polymorph in this dataset: 0.000 eV/atom
crystal system: cubic
SG: No. 216
calculated volume: 27.7 A^3/atom

a b c (Å): 4.8994 4.8994 4.8994
angles (deg): 60.00 60.00 60.00
Last column: nearest neighbours and their distance in Å.
Fractional coordinates of all 3 atoms:
Nd1 0.0000 0.0000 0.0000  4 Mo 3.00
Mg1 0.5000 0.5000 0.5000  4 Mo 3.00
Mo1 0.7500 0.7500 0.7500  4 Mg 3.00, 4 Nd 3.00

---

(4)
Here is a geometry-optimized TaGaCu structure from the Open Quantum Materials Database. Energies are from GGA-PBE.

Calculated values
crystal system: cubic
SG: No. 216
calculated volume: 18.4 A^3/atom
DFT total energy: -5.60 eV/atom

a b c (Å): 4.2748 4.2748 4.2748
angles (deg): 60.00 60.00 60.00
Last column: nearest neighbours and their distance in Å.
Fractional coordinates of all 3 atoms:
Ta1 0.0000 0.0000 0.0000  4 Ga 2.62, 4 Cu 2.62
Ga1 0.2500 0.2500 0.2500  4 Ta 2.62
Cu1 0.7500 0.7500 0.7500  4 Ta 2.62

---

(5)
Here is a geometry-optimized FeRe2Sn structure from the Open Quantum Materials Database. Energies are from GGA-PBE.

Calculated values
crystal system: cubic
SG: No. 216
calculated volume: 15.1 A^3/atom
DFT total energy: -8.85 eV/atom

a b c (Å): 4.3992 4.3992 4.3992
angles (deg): 60.00 60.00 60.00
Last column: nearest neighbours and their distance in Å.
Fractional coordinates of all 4 atoms:
Fe1 0.0000 0.0000 0.0000  4 Sn 2.69, 4 Re 2.69
Re1 0.2500 0.2500 0.2500  4 Re 2.69, 4 Fe 2.69
Re2 0.5000 0.5000 0.5000  4 Sn 2.69, 4 Re 2.69
Sn1 0.7500 0.7500 0.7500  4 Re 2.69, 4 Fe 2.69

---

(6)
Here is a geometry-optimized RbAgGeO3 structure from the Open Quantum Materials Database. Energies are from GGA-PBE.

Calculated values
crystal system: orthorhombic
SG: No. 62
calculated volume: 15.8 A^3/atom
DFT total energy: -5.03 eV/atom

a b c (Å): 12.2770 3.0409 10.1821
angles (deg): 90.00 90.00 90.00
Last column: nearest neighbours and their distance in Å.
Fractional coordinates of all 24 atoms:
Rb1 0.2395 0.2500 0.1281  5 O 2.66-2.94
Rb2 0.2605 0.7500 0.6281  5 O 2.66-2.94
Rb3 0.7395 0.2500 0.3719  5 O 2.66-2.94
Rb4 0.7605 0.7500 0.8719  5 O 2.66-2.94
Ag1 0.0293 0.2500 0.9012  2 O 2.13
Ag2 0.4707 0.7500 0.4012  2 O 2.13
Ag3 0.5293 0.2500 0.5988  2 O 2.13
Ag4 0.9707 0.7500 0.0988  2 O 2.13
Ge1 0.0218 0.2500 0.3741  6 O 1.88-2.10
Ge2 0.4782 0.7500 0.8741  6 O 1.88-2.10
Ge3 0.5218 0.2500 0.1259  6 O 1.88-2.10
Ge4 0.9782 0.7500 0.6259  6 O 1.88-2.10
O1 0.0758 0.2500 0.5471  3 Ge 1.88-2.10
O2 0.0769 0.7500 0.7667  1 Ge 1.88
O3 0.1042 0.7500 0.3132  2 Ge 1.93
O4 0.3958 0.2500 0.8132  2 Ge 1.93
O5 0.4231 0.2500 0.2667  1 Ge 1.88
O6 0.4242 0.7500 0.0471  3 Ge 1.88-2.10
O7 0.5758 0.2500 0.9529  3 Ge 1.88-2.10
O8 0.5769 0.7500 0.7333  1 Ge 1.88
O9 0.6042 0.7500 0.1868  2 Ge 1.93
O10 0.8958 0.2500 0.6868  2 Ge 1.93
O11 0.9231 0.2500 0.2333  1 Ge 1.88
O12 0.9242 0.7500 0.4529  3 Ge 1.88-2.10